#i
# BaSrTe PBE-GGA relaxed
data_BaSrTe
_chemical_formula_sum 'Ba6 Sr6 Te6'
_cell_length_a 5.6439
_cell_length_b 5.6439
_cell_length_c 27.9618
_cell_angle_alpha 90.00
_cell_angle_beta 90.00
_cell_angle_gamma 120.00
_space_group_name_H-M_alt 'R -3 m'
_space_group_IT_number 166
_space_group_name_Hall '-R 3 2"'
loop_
_atom_site_label
_atom_site_type_symbol
_atom_site_fract_x
_atom_site_fract_y
_atom_site_fract_z
_atom_site_occupancy
Ba1 Ba 0.0000 0.0000 0.1286 1
Sr1 Sr 0.0000 0.0000 0.3773 1
Te1 Te 0.0000 0.0000 0.2581 1
# crystal system	trigonal
# total magnetic moment	0.00	μB/f.u.
# theoretical density	4.6	g cm⁻³


#ii
# BaSrTe PBE-GGA relaxed
data_BaSrTe
_chemical_formula_sum 'Ba2 Sr2 Te2'
_cell_length_a 4.218
_cell_length_b 4.218
_cell_length_c 15.098
_cell_angle_alpha 90.00
_cell_angle_beta 90.00
_cell_angle_gamma 90.00
_space_group_name_H-M_alt 'I 4 m m'
_space_group_IT_number 107
_space_group_name_Hall 'I 4 -2'
loop_
_atom_site_label
_atom_site_type_symbol
_atom_site_fract_x
_atom_site_fract_y
_atom_site_fract_z
_atom_site_occupancy
Ba1 Ba 0.000 0.000 0.000 1
Sr1 Sr 0.000 0.000 0.263 1
Te1 Te 0.000 0.000 0.639 1
# crystal system	tetragonal
# total magnetic moment	0.00	μB/f.u.
# theoretical density	4.4	g cm⁻³


Stability check: which of them is least stable? #i.


#i
# BaSrTe PBE-GGA relaxed
data_BaSrTe
_chemical_formula_sum 'Ba4 Sr4 Te4'
_cell_length_a 7.990
_cell_length_b 7.990
_cell_length_c 7.990
_cell_angle_alpha 90.00
_cell_angle_beta 90.00
_cell_angle_gamma 90.00
_space_group_name_H-M_alt 'F -4 3 m'
_space_group_IT_number 216
_space_group_name_Hall 'F -4 2 3'
loop_
_atom_site_label
_atom_site_type_symbol
_atom_site_fract_x
_atom_site_fract_y
_atom_site_fract_z
_atom_site_occupancy
Ba1 Ba 0.000 0.000 0.000 1
Sr1 Sr 0.250 0.250 0.250 1
Te1 Te 0.000 0.000 0.500 1
# crystal system	cubic
# total magnetic moment	0.32	μB/f.u.
# theoretical density	4.6	g cm⁻³


#ii
# BaSrTe PBE-GGA relaxed
data_BaSrTe
_chemical_formula_sum 'Ba1 Sr1 Te1'
_cell_length_a 4.6972
_cell_length_b 4.6972
_cell_length_c 7.9372
_cell_angle_alpha 90.00
_cell_angle_beta 90.00
_cell_angle_gamma 120.00
_space_group_name_H-M_alt 'P 3 m 1'
_space_group_IT_number 156
loop_
_space_group_symop_operation_xyz
'x,y,z'
'-y,x-y,z'
'-x+y,-x,z'
'-y,-x,z'
'-x+y,y,z'
'x,x-y,z'
loop_
_atom_site_label
_atom_site_type_symbol
_atom_site_fract_x
_atom_site_fract_y
_atom_site_fract_z
_atom_site_occupancy
Ba1 Ba 0.0000 0.0000 0.0000 1
Sr1 Sr 0.6667 0.3333 0.4788 1
Te1 Te 0.3333 0.6667 0.7247 1
# crystal system	trigonal
# total magnetic moment	0.08	μB/f.u.
# theoretical density	3.9	g cm⁻³


Stability check: which of them is least stable? #i.


#i
# BaSr3Te PBE-GGA relaxed
data_BaSr3Te
_chemical_formula_sum 'Ba1 Sr3 Te1'
_cell_length_a 6.529
_cell_length_b 6.529
_cell_length_c 6.529
_cell_angle_alpha 90.00
_cell_angle_beta 90.00
_cell_angle_gamma 90.00
_space_group_name_H-M_alt 'P m -3 m'
_space_group_IT_number 221
_space_group_name_Hall '-P 4 2 3'
loop_
_atom_site_label
_atom_site_type_symbol
_atom_site_fract_x
_atom_site_fract_y
_atom_site_fract_z
_atom_site_occupancy
Ba1 Ba 0.000 0.000 0.000 1
Sr1 Sr 0.000 0.500 0.500 1
Te1 Te 0.500 0.500 0.500 1
# crystal system	cubic
# total magnetic moment	0.00	μB/f.u.
# theoretical density	3.1	g cm⁻³


#ii
# BaSr3Te PBE-GGA relaxed
data_BaSr3Te
_chemical_formula_sum 'Ba1 Sr3 Te1'
_cell_length_a 6.577
_cell_length_b 6.577
_cell_length_c 6.577
_cell_angle_alpha 90.00
_cell_angle_beta 90.00
_cell_angle_gamma 90.00
_space_group_name_H-M_alt 'P m -3 m'
_space_group_IT_number 221
_space_group_name_Hall '-P 4 2 3'
loop_
_atom_site_label
_atom_site_type_symbol
_atom_site_fract_x
_atom_site_fract_y
_atom_site_fract_z
_atom_site_occupancy
Ba1 Ba 0.000 0.000 0.000 1
Sr1 Sr 0.000 0.000 0.500 1
Te1 Te 0.500 0.500 0.500 1
# crystal system	cubic
# total magnetic moment	4.12	μB/f.u.
# theoretical density	3.1	g cm⁻³


Stability check: which of them is least stable? #ii.


#i
# BaSr2Te2 PBE-GGA relaxed
data_BaSr2Te2
_chemical_formula_sum 'Ba2 Sr4 Te4'
_cell_length_a 6.072
_cell_length_b 6.072
_cell_length_c 12.583
_cell_angle_alpha 90.00
_cell_angle_beta 90.00
_cell_angle_gamma 90.00
_space_group_name_H-M_alt 'I 4/m m m'
_space_group_IT_number 139
_space_group_name_Hall '-I 4 2'
loop_
_atom_site_label
_atom_site_type_symbol
_atom_site_fract_x
_atom_site_fract_y
_atom_site_fract_z
_atom_site_occupancy
Ba1 Ba 0.000 0.000 0.000 1
Sr1 Sr 0.000 0.000 0.338 1
Te1 Te 0.000 0.500 0.250 1
# crystal system	tetragonal
# total magnetic moment	0.00	μB/f.u.
# theoretical density	4.1	g cm⁻³


#ii
# BaSr2Te2 PBE-GGA relaxed
data_BaSr2Te2
_chemical_formula_sum 'Ba2 Sr4 Te4'
_cell_length_a 5.111
_cell_length_b 5.111
_cell_length_c 15.710
_cell_angle_alpha 90.00
_cell_angle_beta 90.00
_cell_angle_gamma 90.00
_space_group_name_H-M_alt 'I 4/m m m'
_space_group_IT_number 139
_space_group_name_Hall '-I 4 2'
loop_
_atom_site_label
_atom_site_type_symbol
_atom_site_fract_x
_atom_site_fract_y
_atom_site_fract_z
_atom_site_occupancy
Ba1 Ba 0.000 0.000 0.000 1
Sr1 Sr 0.000 0.500 0.250 1
Te1 Te 0.000 0.000 0.385 1
# crystal system	tetragonal
# total magnetic moment	0.00	μB/f.u.
# theoretical density	4.6	g cm⁻³


#iii
# BaSr2Te2 PBE-GGA relaxed
data_BaSr2Te2
_chemical_formula_sum 'Ba2 Sr4 Te4'
_cell_length_a 9.158
_cell_length_b 9.158
_cell_length_c 4.616
_cell_angle_alpha 90.00
_cell_angle_beta 90.00
_cell_angle_gamma 90.00
_space_group_name_H-M_alt 'P 4/m b m'
_space_group_IT_number 127
_space_group_name_Hall '-P 4 2ab'
loop_
_atom_site_label
_atom_site_type_symbol
_atom_site_fract_x
_atom_site_fract_y
_atom_site_fract_z
_atom_site_occupancy
Ba1 Ba 0.000 0.000 0.000 1
Sr1 Sr 0.155 0.345 0.500 1
Te1 Te 0.149 0.649 0.000 1
# crystal system	tetragonal
# total magnetic moment	0.00	μB/f.u.
# theoretical density	4.9	g cm⁻³


Stability check: which of them is least stable? #ii.


#i
# Ba3SrTe PBE-GGA relaxed
data_Ba3SrTe
_chemical_formula_sum 'Ba3 Sr1 Te1'
_cell_length_a 6.529
_cell_length_b 6.529
_cell_length_c 6.529
_cell_angle_alpha 90.00
_cell_angle_beta 90.00
_cell_angle_gamma 90.00
_space_group_name_H-M_alt 'P m -3 m'
_space_group_IT_number 221
_space_group_name_Hall '-P 4 2 3'
loop_
_atom_site_label
_atom_site_type_symbol
_atom_site_fract_x
_atom_site_fract_y
_atom_site_fract_z
_atom_site_occupancy
Ba1 Ba 0.000 0.000 0.500 1
Sr1 Sr 0.000 0.000 0.000 1
Te1 Te 0.500 0.500 0.500 1
# crystal system	cubic
# total magnetic moment	0.69	μB/f.u.
# theoretical density	3.7	g cm⁻³


#ii
# Ba3SrTe PBE-GGA relaxed
data_Ba3SrTe
_chemical_formula_sum 'Ba3 Sr1 Te1'
_cell_length_a 6.781
_cell_length_b 6.781
_cell_length_c 6.781
_cell_angle_alpha 90.00
_cell_angle_beta 90.00
_cell_angle_gamma 90.00
_space_group_name_H-M_alt 'P m -3 m'
_space_group_IT_number 221
_space_group_name_Hall '-P 4 2 3'
loop_
_atom_site_label
_atom_site_type_symbol
_atom_site_fract_x
_atom_site_fract_y
_atom_site_fract_z
_atom_site_occupancy
Ba1 Ba 0.000 0.000 0.500 1
Sr1 Sr 0.500 0.500 0.500 1
Te1 Te 0.000 0.000 0.000 1
# crystal system	cubic
# total magnetic moment	0.00	μB/f.u.
# theoretical density	3.3	g cm⁻³


Stability check: which of them is least stable? #i.